DFT (PBE) results for crystalline TlCo2Br at its relaxed geometry.

a b c (Å): 8.091 8.091 8.091
angles (deg): 25.17 25.17 25.17
Site moments in Bohr magnetons follow the coordinates.
Positions (direct):
Br 0.721 0.721 0.721  0.11
Co 0.986 0.986 0.986  1.90
Co 0.273 0.273 0.273  1.88
Tl 0.520 0.520 0.520  0.06

Results
Raw formation energy (eV per atom): 0.34
Energy above the lowest structure with this stoichiometry (meV/atom): 0
Calculated total energy (Ha/atom): -0.1550

DFT (PBE) results for crystalline YHo3Ga3 at its relaxed geometry.

a b c (Å): 4.777 9.098 9.098
angles (deg): 120.00 90.00 90.00
Positions (direct):
Y 0.250 0.667 0.333
Y 0.750 0.333 0.667
Ho 0.750 0.761 0.746
Ho 0.750 0.254 0.015
Ho 0.750 0.985 0.239
Ho 0.250 0.239 0.254
Ho 0.250 0.746 0.985
Ho 0.250 0.015 0.761
Ga 0.250 0.550 0.609
Ga 0.250 0.391 0.942
Ga 0.250 0.058 0.450
Ga 0.750 0.450 0.391
Ga 0.750 0.609 0.058
Ga 0.750 0.942 0.550

Results
Calculated total energy (Ha/atom): -0.1697

DFT (PBE) results for crystalline GaAsO2 at its relaxed geometry.

a b c (Å): 6.557 6.557 6.557
angles (deg): 26.26 26.26 26.26
Positions (direct):
As 0.000 0.000 0.000
O 0.888 0.888 0.888
O 0.112 0.112 0.112
Ga 0.500 0.500 0.500

Results
Raw formation energy (eV per atom): -1.26
Energy above the lowest structure with this stoichiometry (meV/atom): 0
Calculated total energy (Ha/atom): -0.2079